Crystalline NdTh2Sc at its relaxed geometry. Source: Alexandria, functional PBE.

Properties
* calculated volume: 125.3 Å³ per cell
* formation enthalpy at 0 K: 0.198 eV per atom
* size of the total moment: 0.0 μB per cell
* crystal system: trigonal
* polymorph energy (0 for the lowest one): 156 meV per atom
* symmetry: R-3m, No. 166

Cell lengths 3.437, 3.437, 12.410 Å; angles 82.04, 82.04, 60.00 degrees
Fractional coordinates of all 4 atoms:
Nd1 0.000 0.000 0.000
Th1 0.090 0.090 0.729
Th2 0.910 0.910 0.271
Sc1 0.500 0.500 0.500


Crystalline K3Ta2S6 at its relaxed geometry. Source: Alexandria, functional PBE.

Properties
* calculated volume: 294.5 Å³ per cell
* energy relative to the elements, uncorrected: -1.07 eV/atom
* size of the total moment: 0.0 μB per cell
* crystal system: tetragonal
* symmetry: I4/mmm, No. 139

Cell lengths 4.762, 4.762, 13.420 Å; angles 100.22, 100.22, 90.00 degrees
Fractional coordinates of all 11 atoms:
K1 0.177 0.177 0.354
K2 0.000 0.000 0.000
K3 0.823 0.823 0.646
S1 0.415 0.915 0.829
S2 0.585 0.085 0.171
S3 0.693 0.693 0.385
S4 0.085 0.585 0.171
S5 0.915 0.415 0.829
S6 0.307 0.307 0.615
Ta1 0.394 0.394 0.787
Ta2 0.606 0.606 0.213


Crystalline BeAl3O at its relaxed geometry. Source: Alexandria, functional PBE.

Properties
* calculated volume: 66.8 Å³ per cell
* energy relative to the elements, uncorrected: -0.11 eV/atom
* size of the total moment: 0.0 μB per cell
* crystal system: cubic
* polymorph energy (0 for the lowest one): 0 meV per atom
* symmetry: Pm-3m, No. 221

Cell lengths 4.057, 4.057, 4.057 Å; angles 90.00, 90.00, 90.00 degrees
Fractional coordinates of all 5 atoms:
Be1 0.500 0.500 0.500
O1 0.000 0.000 0.000
Al1 0.000 0.000 0.500
Al2 0.000 0.500 0.000
Al3 0.500 0.000 0.000


Crystalline LiTlW2 at its relaxed geometry. Source: Alexandria, functional PBE.

Properties
* calculated volume: 71.8 Å³ per cell
* formation enthalpy at 0 K: 0.942 eV per atom
* size of the total moment: 0.0 μB per cell
* crystal system: orthorhombic
* polymorph energy (0 for the lowest one): 513 meV per atom
* symmetry: Cmmm, No. 65

Cell lengths 2.823, 2.823, 9.923 Å; angles 90.00, 90.00, 114.75 degrees
Fractional coordinates of all 4 atoms:
Tl1 0.500 0.500 0.750
W1 0.000 0.000 0.006
W2 0.000 0.000 0.494
Li1 0.500 0.500 0.250


Crystalline LiCuW2 at its relaxed geometry. Source: Alexandria, functional PBE.

Properties
* calculated volume: 60.1 Å³ per cell
* formation enthalpy at 0 K: 0.422 eV per atom
* size of the total moment: 0.0 μB per cell
* crystal system: orthorhombic
* polymorph energy (0 for the lowest one): 176 meV per atom
* symmetry: Immm, No. 71

Cell lengths 5.408, 5.408, 5.408 Å; angles 148.56, 132.82, 57.80 degrees
Fractional coordinates of all 4 atoms:
Li1 0.250 0.750 0.500
W1 0.986 0.986 0.000
W2 0.514 0.514 0.000
Cu1 0.750 0.250 0.500


Crystalline Bi4PtRh at its relaxed geometry. Source: Alexandria, functional PBE.

Properties
* calculated volume: 345.0 Å³ per cell
* formation enthalpy at 0 K: -0.047 eV per atom
* size of the total moment: 0.0 μB per cell
* crystal system: tetragonal
* polymorph energy (0 for the lowest one): 131 meV per atom
* symmetry: I4_1md, No. 109

Cell lengths 7.654, 7.654, 7.654 Å; angles 108.57, 108.57, 111.28 degrees
Fractional coordinates of all 12 atoms:
Bi1 0.755 0.060 0.304
Bi2 0.755 0.451 0.696
Bi3 0.810 0.005 0.804
Bi4 0.245 0.945 0.700
Bi5 0.201 0.005 0.196
Bi6 0.695 0.495 0.200
Bi7 0.294 0.495 0.800
Bi8 0.245 0.544 0.300
Rh1 0.004 0.504 0.500
Rh2 0.254 0.254 0.000
Pt1 0.746 0.746 0.000
Pt2 0.496 0.996 0.500


Crystalline Hf2ScSnN at its relaxed geometry. Source: Alexandria, functional PBE.

Properties
* calculated volume: 89.9 Å³ per cell
* energy relative to the elements, uncorrected: -0.87 eV/atom
* size of the total moment: 0.0 μB per cell
* crystal system: tetragonal
* symmetry: P4/mmm, No. 123

Cell lengths 4.397, 4.397, 4.652 Å; angles 90.00, 90.00, 90.00 degrees
Fractional coordinates of all 5 atoms:
Hf1 0.000 0.500 0.000
Hf2 0.500 0.000 0.000
Sc1 0.000 0.000 0.500
Sn1 0.500 0.500 0.500
N1 0.000 0.000 0.000


Crystalline La2Tb2Sm3 at its relaxed geometry. Source: Alexandria, functional PBE.

Properties
* calculated volume: 242.3 Å³ per cell
* formation enthalpy at 0 K: 0.119 eV per atom
* size of the total moment: 0.0 μB per cell
* crystal system: monoclinic
* polymorph energy (0 for the lowest one): 104 meV per atom
* symmetry: C2/m, No. 12

Cell lengths 3.560, 8.711, 9.118 Å; angles 118.46, 101.26, 90.00 degrees
Fractional coordinates of all 7 atoms:
Sm1 0.000 0.500 0.000
Sm2 0.212 0.797 0.425
Sm3 0.788 0.203 0.575
La1 0.435 0.087 0.869
La2 0.565 0.913 0.131
Tb1 0.849 0.661 0.698
Tb2 0.151 0.339 0.302